Entry i
DFT (PBE) results for BeReSiSb after structural relaxation.

The space group is F-43m (No. 216) and the conventional cell measures 6.2366, 6.2366 and 6.2366 Å, with angles of 90.00, 90.00 and 90.00 degrees. The asymmetric unit holds Be at (0.0000, 0.0000, 0.0000), Re at (0.2500, 0.2500, 0.2500), Si at (0.0000, 0.0000, 0.5000) and Sb at (0.2500, 0.2500, 0.7500).

The value obtained for the calculated volume is 15.16 Å³/atom.

Entry ii
DFT (PBE) results for BeReSiSb after structural relaxation.

The space group is F-43m (No. 216) and the conventional cell measures 6.2598, 6.2598 and 6.2598 Å, with angles of 90.00, 90.00 and 90.00 degrees. The asymmetric unit holds Be at (0.0000, 0.0000, 0.0000), Re at (0.0000, 0.0000, 0.5000), Si at (0.2500, 0.2500, 0.2500) and Sb at (0.2500, 0.2500, 0.7500).

The value obtained for the calculated volume is 15.33 Å³/atom.

Most stable pick: entry ii. Distance to second place: 142 meV per atom.

Entry i
DFT (PBE) results for ScBeRe after structural relaxation.

The space group is F-43m (No. 216) and the conventional cell measures 5.9506, 5.9506 and 5.9506 Å, with angles of 90.00, 90.00 and 90.00 degrees. The asymmetric unit holds Sc at (0.0000, 0.0000, 0.0000), Be at (0.0000, 0.0000, 0.5000) and Re at (0.2500, 0.2500, 0.7500).

The value obtained for the calculated volume is 17.56 Å³/atom.

Entry ii
DFT (PBE) results for ScBeRe after structural relaxation.

The space group is F-43m (No. 216) and the conventional cell measures 6.0730, 6.0730 and 6.0730 Å, with angles of 90.00, 90.00 and 90.00 degrees. The asymmetric unit holds Sc at (0.0000, 0.0000, 0.0000), Be at (0.2500, 0.2500, 0.7500) and Re at (0.2500, 0.2500, 0.2500).

The value obtained for the calculated volume is 18.66 Å³/atom.

Most stable pick: entry i. Distance to second place: 534 meV per atom.

Entry i
DFT (PBE) results for TaBeReSi after structural relaxation.

The space group is F-43m (No. 216) and the conventional cell measures 6.0430, 6.0430 and 6.0430 Å, with angles of 90.00, 90.00 and 90.00 degrees. The asymmetric unit holds Ta at (0.0000, 0.0000, 0.0000), Be at (0.2500, 0.2500, 0.7500), Re at (0.2500, 0.2500, 0.2500) and Si at (0.0000, 0.0000, 0.5000).

The value obtained for the calculated volume is 13.79 Å³/atom.

Entry ii
DFT (PBE) results for TaBeReSi after structural relaxation.

The space group is F-43m (No. 216) and the conventional cell measures 6.0555, 6.0555 and 6.0555 Å, with angles of 90.00, 90.00 and 90.00 degrees. The asymmetric unit holds Ta at (0.0000, 0.0000, 0.0000), Be at (0.0000, 0.0000, 0.5000), Re at (0.2500, 0.2500, 0.7500) and Si at (0.2500, 0.2500, 0.2500).

The value obtained for the calculated volume is 13.88 Å³/atom.

Most stable pick: entry i. Distance to second place: 140 meV per atom.